## ScHg3Pb (PBE)

Data for crystalline ScHg3Pb at its relaxed geometry.

- E_form (meV/atom) = 323
- space-group type = Pm-3m (221)
- volume (Å³ per atom) = 32.64
- total magnetic moment (μB per cell) = 0.000

Structure (POSCAR):
```
ScHg3Pb
1.0
5.465 0.000 0.000
0.000 5.465 0.000
0.000 0.000 5.465
Pb Sc Hg
1 1 3
direct
0.500 0.500 0.500
0.000 0.000 0.000
0.000 0.500 0.000
0.000 0.000 0.500
0.500 0.000 0.000
```